(1)
# K3Pm3GaO8, optimized geometry, DFT PBE
# - Total energy: -6.32 eV/atom
# - Uncorrected formation energy: -2303 meV/atom
data_K3Pm3GaO8
_chemical_formula_sum 'K3 Pm3 Ga1 O8'
_symmetry_space_group_name_H-M 'P 1'
_symmetry_Int_Tables_number 1
_cell_length_a 6.991
_cell_length_b 6.991
_cell_length_c 7.484
_cell_angle_alpha 117.86
_cell_angle_beta 90.00
_cell_angle_gamma 119.99
loop_
_symmetry_equiv_pos_as_xyz
'x,y,z'
loop_
_atom_site_label
_atom_site_type_symbol
_atom_site_fract_x
_atom_site_fract_y
_atom_site_fract_z
_atom_site_occupancy
K1 K 0.000 0.000 0.000 1
K2 K 0.000 0.500 0.000 1
K3 K 0.500 0.500 0.000 1
Pm1 Pm 0.500 0.000 0.500 1
Pm2 Pm 0.500 0.500 0.500 1
Pm3 Pm 0.000 0.500 0.500 1
Ga1 Ga 0.000 0.000 0.500 1
O1 O 0.270 0.541 0.311 1
O2 O 0.730 0.459 0.689 1
O3 O 0.793 0.585 0.326 1
O4 O 0.207 0.415 0.674 1
O5 O 0.792 0.034 0.326 1
O6 O 0.208 0.966 0.674 1
O7 O 0.241 0.034 0.326 1
O8 O 0.759 0.966 0.674 1

***

(2)
# K2PmGaO4, optimized geometry, DFT PBE
# - Total energy: -5.90 eV/atom
# - Uncorrected formation energy: -2175 meV/atom
data_K2PmGaO4
_chemical_formula_sum 'K2 Pm1 Ga1 O4'
_symmetry_space_group_name_H-M 'P 1'
_symmetry_Int_Tables_number 1
_cell_length_a 6.036
_cell_length_b 6.036
_cell_length_c 6.036
_cell_angle_alpha 87.94
_cell_angle_beta 121.20
_cell_angle_gamma 121.20
loop_
_symmetry_equiv_pos_as_xyz
'x,y,z'
loop_
_atom_site_label
_atom_site_type_symbol
_atom_site_fract_x
_atom_site_fract_y
_atom_site_fract_z
_atom_site_occupancy
K1 K 0.500 0.750 0.250 1
K2 K 0.000 0.000 0.000 1
Pm1 Pm 0.500 0.250 0.750 1
Ga1 Ga 0.000 0.500 0.500 1
O1 O 0.623 0.392 0.460 1
O2 O 0.068 0.231 0.608 1
O3 O 0.932 0.540 0.164 1
O4 O 0.377 0.836 0.769 1

***

(3)
# KPr2GaO5, optimized geometry, DFT PBE
# - Total energy: -6.88 eV/atom
# - Uncorrected formation energy: -2601 meV/atom
data_KPr2GaO5
_chemical_formula_sum 'K2 Pr4 Ga2 O10'
_symmetry_space_group_name_H-M 'P 1'
_symmetry_Int_Tables_number 1
_cell_length_a 6.909
_cell_length_b 6.909
_cell_length_c 7.504
_cell_angle_alpha 117.41
_cell_angle_beta 117.41
_cell_angle_gamma 90.00
loop_
_symmetry_equiv_pos_as_xyz
'x,y,z'
loop_
_atom_site_label
_atom_site_type_symbol
_atom_site_fract_x
_atom_site_fract_y
_atom_site_fract_z
_atom_site_occupancy
K1 K 0.250 0.250 0.500 1
K2 K 0.750 0.750 0.500 1
Pr1 Pr 0.181 0.319 0.000 1
Pr2 Pr 0.681 0.181 0.000 1
Pr3 Pr 0.319 0.819 0.000 1
Pr4 Pr 0.819 0.681 0.000 1
Ga1 Ga 0.250 0.750 0.500 1
Ga2 Ga 0.750 0.250 0.500 1
O1 O 0.998 0.498 0.268 1
O2 O 0.730 0.230 0.732 1
O3 O 0.002 0.502 0.732 1
O4 O 0.230 0.002 0.732 1
O5 O 0.502 0.730 0.732 1
O6 O 0.770 0.998 0.268 1
O7 O 0.498 0.270 0.268 1
O8 O 0.270 0.770 0.268 1
O9 O 0.500 0.500 0.000 1
O10 O 0.000 0.000 0.000 1

***

(4)
# K3Pr3GaO8, optimized geometry, DFT PBE
# - Total energy: -6.26 eV/atom
# - Uncorrected formation energy: -2237 meV/atom
data_K3Pr3GaO8
_chemical_formula_sum 'K3 Pr3 Ga1 O8'
_symmetry_space_group_name_H-M 'P 1'
_symmetry_Int_Tables_number 1
_cell_length_a 7.097
_cell_length_b 7.098
_cell_length_c 7.530
_cell_angle_alpha 118.13
_cell_angle_beta 90.00
_cell_angle_gamma 119.99
loop_
_symmetry_equiv_pos_as_xyz
'x,y,z'
loop_
_atom_site_label
_atom_site_type_symbol
_atom_site_fract_x
_atom_site_fract_y
_atom_site_fract_z
_atom_site_occupancy
K1 K 0.000 0.000 0.000 1
K2 K 0.000 0.500 0.000 1
K3 K 0.500 0.500 0.000 1
Pr1 Pr 0.500 0.000 0.500 1
Pr2 Pr 0.500 0.500 0.500 1
Pr3 Pr 0.000 0.500 0.500 1
Ga1 Ga 0.000 0.000 0.500 1
O1 O 0.269 0.539 0.308 1
O2 O 0.731 0.461 0.692 1
O3 O 0.794 0.588 0.325 1
O4 O 0.206 0.412 0.675 1
O5 O 0.794 0.031 0.325 1
O6 O 0.206 0.969 0.675 1
O7 O 0.237 0.031 0.325 1
O8 O 0.763 0.969 0.675 1

***

(5)
# K4Pr3GaO8, optimized geometry, DFT PBE
# - Total energy: -6.09 eV/atom
# - Uncorrected formation energy: -2251 meV/atom
data_K4Pr3GaO8
_chemical_formula_sum 'K4 Pr3 Ga1 O8'
_symmetry_space_group_name_H-M 'P 1'
_symmetry_Int_Tables_number 1
_cell_length_a 7.018
_cell_length_b 7.463
_cell_length_c 7.236
_cell_angle_alpha 117.51
_cell_angle_beta 119.01
_cell_angle_gamma 90.00
loop_
_symmetry_equiv_pos_as_xyz
'x,y,z'
loop_
_atom_site_label
_atom_site_type_symbol
_atom_site_fract_x
_atom_site_fract_y
_atom_site_fract_z
_atom_site_occupancy
K1 K 0.500 0.000 0.000 1
K2 K 0.500 0.000 0.500 1
K3 K 0.000 0.000 0.000 1
K4 K 0.000 0.000 0.500 1
Pr1 Pr 0.500 0.500 0.000 1
Pr2 Pr 0.500 0.500 0.500 1
Pr3 Pr 0.000 0.500 0.500 1
Ga1 Ga 0.000 0.500 0.000 1
O1 O 0.191 0.668 0.960 1
O2 O 0.263 0.726 0.526 1
O3 O 0.277 0.307 0.554 1
O4 O 0.769 0.668 0.960 1
O5 O 0.231 0.332 0.040 1
O6 O 0.723 0.693 0.446 1
O7 O 0.737 0.274 0.474 1
O8 O 0.809 0.332 0.040 1

***

(6)
# K2GaPtO4, optimized geometry, DFT PBE
# - Total energy: -5.07 eV/atom
# - Uncorrected formation energy: -1180 meV/atom
data_K2GaPtO4
_chemical_formula_sum 'K4 Ga2 Pt2 O8'
_symmetry_space_group_name_H-M 'P 1'
_symmetry_Int_Tables_number 1
_cell_length_a 5.898
_cell_length_b 7.444
_cell_length_c 9.857
_cell_angle_alpha 83.19
_cell_angle_beta 72.59
_cell_angle_gamma 66.66
loop_
_symmetry_equiv_pos_as_xyz
'x,y,z'
loop_
_atom_site_label
_atom_site_type_symbol
_atom_site_fract_x
_atom_site_fract_y
_atom_site_fract_z
_atom_site_occupancy
K1 K 0.176 0.000 0.647 1
K2 K 0.824 0.000 0.353 1
K3 K 0.574 0.500 0.853 1
K4 K 0.926 0.500 0.147 1
Ga1 Ga 0.250 0.500 0.500 1
Ga2 Ga 0.500 0.000 0.000 1
Pt1 Pt 0.750 0.500 0.500 1
Pt2 Pt 0.000 0.000 0.000 1
O1 O 0.350 0.812 0.003 1
O2 O 0.166 0.188 0.997 1
O3 O 0.837 0.812 0.997 1
O4 O 0.646 0.188 0.003 1
O5 O 0.400 0.688 0.497 1
O6 O 0.584 0.312 0.503 1
O7 O 0.913 0.688 0.503 1
O8 O 0.104 0.312 0.497 1

***

Table of total magnetization (μB/f.u.), in record order: 1.18, 0.00, 0.00, 1.18, 0.07, 1.02